DFT (PBE) results for crystalline Pr3Er3Sc2 at its relaxed geometry.

abc: 5.0075 5.0470 9.7870
angles: 90.00 90.00 90.00
Element x y z (fractional)
Pr  0.0000  0.5000  0.5000
Pr  0.5000  0.0000  0.0000
Pr  0.5000  0.0000  0.5000
Er  0.5000  0.5000  0.2468
Er  0.5000  0.5000  0.7532
Er  0.0000  0.5000  0.0000
Sc  0.0000  0.0000  0.2468
Sc  0.0000  0.0000  0.7532

Calculated values
The total energy is -5.0382 eV per atom. Its space-group type is Pmmm, No. 47.

DFT (PBE) results for crystalline ScInCo3 at its relaxed geometry.

abc: 4.4151 4.4151 4.4151
angles: 90.00 90.00 90.00
Element x y z (fractional)
Sc  0.0000  0.0000  0.0000
Co  0.0000  0.5000  0.0000
Co  0.0000  0.0000  0.5000
Co  0.5000  0.0000  0.0000
In  0.5000  0.5000  0.5000

Calculated values
The total energy is -5.0142 eV per atom. As for the excess energy over the best structure of this formula in the dataset: 0 meV/atom. Its space-group type is Pm-3m, No. 221.

DFT (PBE) results for crystalline La3Pr4In4 at its relaxed geometry.

abc: 4.6061 8.6686 10.5517
angles: 114.25 102.61 90.00
Element x y z (fractional)
La  0.1090  0.1090  0.2181
La  0.8910  0.8910  0.7819
La  0.0000  0.5000  0.0000
Pr  0.3358  0.1401  0.6716
Pr  0.6642  0.4685  0.3284
Pr  0.6642  0.8599  0.3284
Pr  0.3358  0.5315  0.6716
In  0.2433  0.7433  0.4867
In  0.7567  0.2567  0.5133
In  0.5000  0.8101  0.0000
In  0.5000  0.1899  0.0000

Calculated values
The total energy is -4.3438 eV per atom. Its space-group type is Immm, No. 71.

Quick rundown of energy of formation, same order as above: 0.048; 1.063; -0.266 eV/atom